Record 1
# Zn3TeIr (PBEsol, relaxed)
# E_form (uncorrected): 1.5175 eV per atom
# total moment: 0.00 μB per cell
# D(E_F): 0.52 states/eV/atom
data_Zn3TeIr
_symmetry_space_group_name_H-M 'P m -3 m'
_symmetry_Int_Tables_number 221
_symmetry_space_group_name_Hall '-P 4 2 3'
_cell_length_a 4.905
_cell_length_b 4.905
_cell_length_c 4.905
_cell_angle_alpha 90.00
_cell_angle_beta 90.00
_cell_angle_gamma 90.00
loop_
_atom_site_label
_atom_site_fract_x
_atom_site_fract_y
_atom_site_fract_z
Zn1 0.000 0.000 0.500
Te1 0.000 0.000 0.000
Ir1 0.500 0.500 0.500


Record 2
# MgTcSb2 (PBEsol, relaxed)
# E_form (uncorrected): -0.0370 eV per atom
# total moment: 0.00 μB per cell
# relative energy among the computed polymorphs: 0.000 eV per atom
# D(E_F): 0.58 states/eV/atom
data_MgTcSb2
_symmetry_space_group_name_H-M 'P 4/m m m'
_symmetry_Int_Tables_number 123
_symmetry_space_group_name_Hall '-P 4 2'
_cell_length_a 3.234
_cell_length_b 3.234
_cell_length_c 7.722
_cell_angle_alpha 90.00
_cell_angle_beta 90.00
_cell_angle_gamma 90.00
loop_
_atom_site_label
_atom_site_fract_x
_atom_site_fract_y
_atom_site_fract_z
Mg1 0.000 0.000 0.000
Tc1 0.000 0.000 0.500
Sb1 0.500 0.500 0.290